Record 1
{"formula": "Li2CuSbCl6", "functional": "PBE", "state": "optimized geometry", "e_form_raw_ev_per_fu": -8.682, "energy_ev_per_atom": -3.181, "rho_g_cm3": 2.57, "vol_a3_per_atom": 26.66, "lattice_angstrom": [[0.000, 5.108, 5.108], [5.108, 0.000, 5.108], [5.108, 5.108, 0.000]], "species": ["Li", "Li", "Cl", "Cl", "Cl", "Cl", "Cl", "Cl", "Sb", "Cu"], "frac_coords": [[0.750, 0.750, 0.750], [0.250, 0.250, 0.250], [0.741, 0.259, 0.741], [0.741, 0.259, 0.259], [0.741, 0.741, 0.259], [0.259, 0.741, 0.741], [0.259, 0.741, 0.259], [0.259, 0.259, 0.741], [0.000, 0.000, 0.000], [0.500, 0.500, 0.500]]}


Record 2
{"formula": "LiCuSiCl2", "functional": "PBE", "state": "optimized geometry", "e_form_raw_ev_per_fu": -1.695, "energy_ev_per_atom": -3.364, "dos_at_fermi_per_ev_cell": 0.08, "rho_g_cm3": 2.33, "vol_a3_per_atom": 24.14, "lattice_angstrom": [[5.195, 0.000, 0.000], [0.000, 4.474, 0.000], [0.000, 0.000, 5.195]], "species": ["Li", "Cl", "Cl", "Cu", "Si"], "frac_coords": [[0.500, 0.500, 0.500], [0.500, 0.000, 0.000], [0.000, 0.000, 0.500], [0.000, 0.500, 0.000], [0.000, 0.000, 0.000]]}


Record 3
{"formula": "LiCuSn2Cl6", "functional": "PBE", "state": "optimized geometry", "e_form_raw_ev_per_fu": -10.301, "energy_ev_per_atom": -3.540, "dos_at_fermi_per_ev_cell": 0.00, "rho_g_cm3": 3.18, "vol_a3_per_atom": 27.22, "lattice_angstrom": [[-0.899, 6.251, -2.888], [-4.574, 4.478, 2.787], [2.807, 5.985, 3.784]], "species": ["Cl", "Cl", "Cl", "Cl", "Cl", "Cl", "Li", "Cu", "Sn", "Sn"], "frac_coords": [[0.710, 0.093, 0.722], [0.477, 0.713, 0.714], [0.094, 0.476, 0.720], [0.974, 0.605, 0.228], [0.610, 0.189, 0.225], [0.187, 0.973, 0.235], [0.823, 0.824, 0.538], [0.264, 0.265, 0.207], [0.017, 0.018, 0.944], [0.505, 0.507, 0.481]]}


Record 4
{"formula": "Li2CuSnCl6", "functional": "PBE", "state": "optimized geometry", "e_form_raw_ev_per_fu": -11.357, "energy_ev_per_atom": -3.436, "dos_at_fermi_per_ev_cell": 0.38, "rho_g_cm3": 2.47, "vol_a3_per_atom": 27.52, "lattice_angstrom": [[7.649, 0.430, 0.446], [2.929, 8.658, 0.955], [2.929, 0.633, 8.687]], "species": ["Cl", "Cl", "Cl", "Cl", "Cl", "Cl", "Cl", "Cl", "Cl", "Cl", "Cl", "Cl", "Cu", "Cu", "Li", "Li", "Li", "Li", "Sn", "Sn"], "frac_coords": [[0.057, 0.650, 0.090], [0.601, 0.589, 0.702], [0.899, 0.298, 0.411], [0.399, 0.411, 0.298], [0.130, 0.015, 0.765], [0.557, 0.090, 0.650], [0.370, 0.235, 0.985], [0.943, 0.350, 0.910], [0.870, 0.985, 0.235], [0.101, 0.702, 0.589], [0.630, 0.765, 0.015], [0.443, 0.910, 0.350], [0.250, 0.174, 0.826], [0.750, 0.826, 0.174], [0.164, 0.374, 0.209], [0.836, 0.626, 0.791], [0.664, 0.209, 0.374], [0.336, 0.791, 0.626], [0.250, 0.734, 0.266], [0.750, 0.266, 0.734]]}


Record 5
{"formula": "LiCuSnCl6", "functional": "PBE", "state": "optimized geometry", "e_form_raw_ev_per_fu": -8.704, "energy_ev_per_atom": -3.311, "dos_at_fermi_per_ev_cell": 4.27, "rho_g_cm3": 3.23, "vol_a3_per_atom": 22.93, "lattice_angstrom": [[-1.247, -5.404, 2.494], [1.877, -2.775, -5.075], [10.367, -0.496, 4.106]], "species": ["Sn", "Sn", "Cu", "Cu", "Cl", "Cl", "Cl", "Cl", "Cl", "Cl", "Cl", "Cl", "Cl", "Cl", "Cl", "Cl", "Li", "Li"], "frac_coords": [[0.000, 0.000, 0.332], [0.500, 0.500, 0.832], [0.000, 0.000, 0.667], [0.500, 0.500, 0.167], [0.808, 0.192, 0.502], [0.800, 0.200, 0.171], [0.702, 0.702, 0.328], [0.700, 0.700, 0.671], [0.798, 0.202, 0.828], [0.308, 0.308, 0.002], [0.300, 0.300, 0.671], [0.202, 0.798, 0.828], [0.298, 0.298, 0.328], [0.192, 0.808, 0.502], [0.692, 0.692, 0.002], [0.200, 0.800, 0.171], [0.500, 0.500, 0.498], [0.000, 0.000, 0.998]]}


Record 6
{"formula": "LiCu2SnCl6", "functional": "PBE", "state": "optimized geometry", "e_form_raw_ev_per_fu": -8.911, "energy_ev_per_atom": -3.410, "dos_at_fermi_per_ev_cell": 20.00, "rho_g_cm3": 3.19, "vol_a3_per_atom": 24.20, "lattice_angstrom": [[-5.275, 2.686, 3.091], [-5.870, -5.524, -2.942], [0.344, -4.846, 7.073]], "species": ["Cu", "Cu", "Cu", "Cu", "Cl", "Cl", "Cl", "Cl", "Cl", "Cl", "Cl", "Cl", "Cl", "Cl", "Cl", "Cl", "Sn", "Sn", "Li", "Li"], "frac_coords": [[0.689, 0.595, 0.763], [0.811, 0.237, 0.405], [0.189, 0.763, 0.595], [0.311, 0.405, 0.237], [0.362, 0.231, 0.026], [0.371, 0.557, 0.713], [0.638, 0.769, 0.974], [0.395, 0.851, 0.381], [0.129, 0.287, 0.443], [0.138, 0.974, 0.769], [0.105, 0.619, 0.149], [0.629, 0.443, 0.287], [0.605, 0.149, 0.619], [0.862, 0.026, 0.231], [0.871, 0.713, 0.557], [0.895, 0.381, 0.851], [0.750, 0.105, 0.895], [0.250, 0.895, 0.105], [0.250, 0.293, 0.707], [0.750, 0.707, 0.293]]}


Record 7
{"formula": "SrLi3Cu4Cl12", "functional": "PBE", "state": "optimized geometry", "e_form_raw_ev_per_fu": -22.214, "energy_ev_per_atom": -3.409, "dos_at_fermi_per_ev_cell": 9.01, "rho_g_cm3": 2.59, "vol_a3_per_atom": 25.29, "lattice_angstrom": [[-7.367, 3.573, 1.485], [-0.586, -7.573, 3.399], [5.370, 4.101, 4.857]], "species": ["Cl", "Cl", "Cl", "Cl", "Cl", "Cl", "Cl", "Cl", "Cl", "Cl", "Cl", "Cl", "Li", "Li", "Li", "Cu", "Cu", "Cu", "Cu", "Sr"], "frac_coords": [[0.332, 0.981, 0.227], [0.666, 0.500, 0.334], [0.227, 0.332, 0.981], [0.668, 0.773, 0.019], [0.094, 0.906, 0.500], [0.981, 0.227, 0.332], [0.500, 0.094, 0.906], [0.334, 0.666, 0.500], [0.773, 0.019, 0.668], [0.500, 0.334, 0.666], [0.906, 0.500, 0.094], [0.019, 0.668, 0.773], [0.000, 0.577, 0.423], [0.577, 0.423, 0.000], [0.423, 0.000, 0.577], [0.926, 0.074, 0.500], [0.500, 0.926, 0.074], [0.500, 0.500, 0.500], [0.074, 0.500, 0.926], [0.000, 0.000, 0.000]]}


Record 8
{"formula": "LiCuTcCl6", "functional": "PBE", "state": "optimized geometry", "e_form_raw_ev_per_fu": -7.623, "energy_ev_per_atom": -3.898, "rho_g_cm3": 3.41, "vol_a3_per_atom": 20.61, "lattice_angstrom": [[6.174, 0.000, 0.000], [-3.087, 5.347, 0.000], [0.000, 0.000, 11.240]], "species": ["Cl", "Cl", "Cl", "Cl", "Cl", "Cl", "Cl", "Cl", "Cl", "Cl", "Cl", "Cl", "Cu", "Cu", "Li", "Li", "Tc", "Tc"], "frac_coords": [[0.350, 0.018, 0.127], [0.332, 0.350, 0.873], [0.018, 0.350, 0.627], [0.668, 0.018, 0.373], [0.982, 0.650, 0.373], [0.982, 0.332, 0.127], [0.332, 0.982, 0.627], [0.650, 0.668, 0.627], [0.650, 0.982, 0.873], [0.668, 0.650, 0.127], [0.350, 0.332, 0.373], [0.018, 0.668, 0.873], [0.000, 0.000, 0.500], [0.000, 0.000, 0.000], [0.333, 0.667, 0.250], [0.667, 0.333, 0.750], [0.667, 0.333, 0.250], [0.333, 0.667, 0.750]]}


Record 9
{"formula": "Li2TiCuCl", "functional": "PBE", "state": "optimized geometry", "e_form_raw_ev_per_fu": -0.214, "energy_ev_per_atom": -3.576, "dos_at_fermi_per_ev_cell": 5.09, "rho_g_cm3": 3.07, "vol_a3_per_atom": 17.37, "lattice_angstrom": [[4.285, 0.000, 0.000], [0.000, 4.731, 0.000], [0.000, 0.000, 4.285]], "species": ["Li", "Li", "Cu", "Cl", "Ti"], "frac_coords": [[0.500, 0.000, 0.000], [0.000, 0.000, 0.500], [0.500, 0.500, 0.500], [0.000, 0.000, 0.000], [0.000, 0.500, 0.000]]}


Record 10
{"formula": "LiTl2CuCl5", "functional": "PBE", "state": "optimized geometry", "e_form_raw_ev_per_fu": -8.882, "energy_ev_per_atom": -3.206, "dos_at_fermi_per_ev_cell": 14.12, "rho_g_cm3": 4.56, "vol_a3_per_atom": 26.58, "lattice_angstrom": [[3.915, 0.000, 0.000], [-1.958, 9.405, 0.000], [0.000, 0.000, 12.995]], "species": ["Li", "Li", "Cl", "Cl", "Cl", "Cl", "Cl", "Cl", "Cl", "Cl", "Cl", "Cl", "Cu", "Cu", "Tl", "Tl", "Tl", "Tl"], "frac_coords": [[0.214, 0.428, 0.028], [0.786, 0.572, 0.528], [0.342, 0.684, 0.003], [0.500, 0.999, 0.291], [0.658, 0.316, 0.503], [0.500, 0.001, 0.791], [0.954, 0.908, 0.525], [0.318, 0.636, 0.389], [0.294, 0.589, 0.653], [0.706, 0.411, 0.153], [0.046, 0.092, 0.025], [0.682, 0.364, 0.889], [0.435, 0.871, 0.438], [0.565, 0.129, 0.938], [0.866, 0.732, 0.815], [0.134, 0.268, 0.315], [0.130, 0.261, 0.682], [0.870, 0.739, 0.182]]}


Record 11
{"formula": "Li2TlCuCl4", "functional": "PBE", "state": "optimized geometry", "e_form_raw_ev_per_fu": -9.801, "energy_ev_per_atom": -3.435, "dos_at_fermi_per_ev_cell": 0.00, "rho_g_cm3": 3.98, "vol_a3_per_atom": 22.08, "lattice_angstrom": [[-0.358, 0.726, -3.704], [-2.685, -6.212, 0.982], [-12.691, 5.860, 2.375]], "species": ["Cl", "Cl", "Cl", "Cl", "Cl", "Cl", "Cl", "Cl", "Tl", "Tl", "Li", "Li", "Li", "Li", "Cu", "Cu"], "frac_coords": [[0.000, 0.000, 0.500], [0.751, 0.503, 0.899], [0.751, 0.503, 0.601], [0.249, 0.497, 0.101], [0.000, 0.000, 0.000], [0.428, 0.855, 0.750], [0.249, 0.497, 0.399], [0.572, 0.145, 0.250], [0.880, 0.759, 0.250], [0.120, 0.241, 0.750], [0.623, 0.245, 0.455], [0.623, 0.245, 0.045], [0.377, 0.755, 0.955], [0.377, 0.755, 0.545], [0.187, 0.373, 0.250], [0.813, 0.627, 0.750]]}


Record 12
{"formula": "LiTl2Cu2Cl6", "functional": "PBE", "state": "optimized geometry", "e_form_raw_ev_per_fu": -9.877, "energy_ev_per_atom": -3.254, "dos_at_fermi_per_ev_cell": 4.98, "rho_g_cm3": 4.23, "vol_a3_per_atom": 26.96, "lattice_angstrom": [[-4.334, 2.130, 4.985], [0.463, -7.126, -1.384], [5.922, 3.056, 3.843]], "species": ["Tl", "Tl", "Cl", "Cl", "Cl", "Cl", "Cl", "Cl", "Cu", "Cu", "Li"], "frac_coords": [[0.717, 0.434, 0.190], [0.283, 0.566, 0.810], [0.255, 0.509, 0.361], [0.799, 0.105, 0.780], [0.306, 0.105, 0.780], [0.694, 0.895, 0.220], [0.745, 0.491, 0.639], [0.201, 0.895, 0.220], [0.064, 0.128, 0.267], [0.936, 0.872, 0.733], [0.500, 0.000, 0.500]]}


What did the twelfth record say?
{"formula": "LiTl2Cu2Cl6", "functional": "PBE", "state": "optimized geometry", "e_form_raw_ev_per_fu": -9.877, "energy_ev_per_atom": -3.254, "dos_at_fermi_per_ev_cell": 4.98, "rho_g_cm3": 4.23, "vol_a3_per_atom": 26.96, "lattice_angstrom": [[-4.334, 2.130, 4.985], [0.463, -7.126, -1.384], [5.922, 3.056, 3.843]], "species": ["Tl", "Tl", "Cl", "Cl", "Cl", "Cl", "Cl", "Cl", "Cu", "Cu", "Li"], "frac_coords": [[0.717, 0.434, 0.190], [0.283, 0.566, 0.810], [0.255, 0.509, 0.361], [0.799, 0.105, 0.780], [0.306, 0.105, 0.780], [0.694, 0.895, 0.220], [0.745, 0.491, 0.639], [0.201, 0.895, 0.220], [0.064, 0.128, 0.267], [0.936, 0.872, 0.733], [0.500, 0.000, 0.500]]}